1.
DFT (GGA-PBE) results for a geometry-optimized LaCo2Ge2P structure.

```
6
Lattice="4.2702 0.0000 0.0000 0.0000 4.2702 0.0000 0.0000 0.0000 5.6744" Properties=species:S:1:pos:R:3 pbc="T T T"
La 0.0000 0.0000 0.0000
Co 0.0000 2.1351 2.8372
Co 2.1351 0.0000 2.8372
Ge 2.1351 2.1351 1.3821
Ge 2.1351 2.1351 4.2924
P 0.0000 0.0000 2.8372
```

=====

2.
DFT (GGA-PBE) results for a geometry-optimized LaCo3GeP structure.

```
12
Lattice="2.7027 -6.8678 0.0000 2.7027 6.8678 0.0000 0.0000 0.0000 5.3877" Properties=species:S:1:pos:R:3 pbc="T T T"
La 2.7027 3.4438 4.0408
La 2.7027 -3.4438 1.3469
Co 1.4063 0.0000 0.0000
Co 1.4063 0.0000 2.6938
Co 2.7027 3.2751 1.3469
Co 2.7027 -3.2751 4.0408
Co 3.9991 0.0000 0.0000
Co 3.9991 0.0000 2.6938
Ge 2.7027 5.5709 1.3469
Ge 2.7027 -5.5709 4.0408
P 2.7027 1.1386 1.3469
P 2.7027 -1.1386 4.0408
```

=====

3.
DFT (GGA-PBE) results for a geometry-optimized La2CoGePb structure.

```
5
Lattice="5.3677 0.0000 0.0000 0.0000 5.3677 0.0000 0.0000 0.0000 4.5735" Properties=species:S:1:pos:R:3 pbc="T T T"
La 0.0000 2.6838 0.0000
La 2.6838 0.0000 0.0000
Co 0.0000 0.0000 0.0000
Ge 0.0000 0.0000 2.2867
Pb 2.6838 2.6838 2.2867
```

Properties
Offset from the most stable computed form ... 0.0 meV per atom

=====

4.
DFT (GGA-PBE) results for a geometry-optimized La2CoGePb structure.

```
5
Lattice="5.2373 0.0000 0.0000 0.0000 5.2373 0.0000 0.0000 0.0000 4.9352" Properties=species:S:1:pos:R:3 pbc="T T T"
La 0.0000 2.6186 0.0000
La 2.6186 0.0000 0.0000
Co 0.0000 0.0000 0.0000
Ge 2.6186 2.6186 2.4676
Pb 0.0000 0.0000 2.4676
```

Properties
Offset from the most stable computed form ... 171.2 meV per atom

=====

5.
DFT (GGA-PBE) results for a geometry-optimized LaCoGe2Pd structure.

```
10
Lattice="4.2561 0.0000 0.0000 0.0000 4.2561 0.0000 0.0000 0.0000 10.3030" Properties=species:S:1:pos:R:3 pbc="T T T"
La 0.0000 0.0000 0.0000
La 2.1280 2.1280 5.1515
Co 0.0000 2.1280 7.7273
Co 2.1280 0.0000 2.5758
Ge 0.0000 0.0000 3.8441
Ge 0.0000 0.0000 6.4589
Ge 2.1280 2.1280 1.3074
Ge 2.1280 2.1280 8.9956
Pd 0.0000 2.1280 2.5758
Pd 2.1280 0.0000 7.7273
```

=====

6.
DFT (GGA-PBE) results for a geometry-optimized LaPmCoGe structure.

```
16
Lattice="7.2518 0.0000 0.0000 0.0000 7.2518 0.0000 0.0000 0.0000 7.2518" Properties=species:S:1:pos:R:3 pbc="T T T"
La 0.0000 0.0000 0.0000
La 0.0000 3.6259 3.6259
La 3.6259 0.0000 3.6259
La 3.6259 3.6259 0.0000
Pm 0.0000 0.0000 3.6259
Pm 0.0000 3.6259 0.0000
Pm 3.6259 0.0000 0.0000
Pm 3.6259 3.6259 3.6259
Co 1.8130 1.8130 1.8130
Co 1.8130 5.4389 5.4389
Co 5.4389 1.8130 5.4389
Co 5.4389 5.4389 1.8130
Ge 1.8130 1.8130 5.4389
Ge 1.8130 5.4389 1.8130
Ge 5.4389 1.8130 1.8130
Ge 5.4389 5.4389 5.4389
```

=====

7.
DFT (GGA-PBE) results for a geometry-optimized La2CoGe4Pt3 structure.

```
10
Lattice="4.3418 0.0000 0.0000 0.0000 4.3418 0.0000 0.0000 0.0000 10.2265" Properties=species:S:1:pos:R:3 pbc="T T T"
La 0.0000 2.1709 2.5423
La 2.1709 0.0000 7.6842
Co 2.1709 2.1709 0.0000
Ge 0.0000 0.0000 5.1132
Ge 0.0000 2.1709 8.9655
Ge 2.1709 0.0000 1.2609
Ge 2.1709 2.1709 5.1132
Pt 0.0000 0.0000 0.0000
Pt 0.0000 2.1709 6.4472
Pt 2.1709 0.0000 3.7792
```

=====

8.
DFT (GGA-PBE) results for a geometry-optimized La2CoGe3Pt12 structure.

```
18
Lattice="4.0784 2.3547 6.4259 -4.0784 2.3547 6.4259 0.0000 -4.7093 6.4259" Properties=species:S:1:pos:R:3 pbc="T T T"
La 0.0000 0.0000 2.4827
La 0.0000 0.0000 16.7952
Co 0.0000 0.0000 9.6389
Ge -2.0392 -1.1773 6.4259
Ge -2.0392 1.1773 12.8519
Ge 0.0000 2.3547 6.4259
Pt 0.0000 -2.3130 5.6767
Pt -2.0031 1.1565 5.6767
Pt -1.9872 -1.1473 8.8362
Pt -2.0031 -1.1565 13.6011
Pt 0.0000 -2.2946 10.4417
Pt -1.9872 1.1473 10.4417
Pt 1.9872 -1.1473 8.8362
Pt 0.0000 2.2946 8.8362
Pt 2.0031 1.1565 5.6767
Pt 1.9872 1.1473 10.4417
Pt 2.0031 -1.1565 13.6011
Pt 0.0000 2.3130 13.6011
```

=====

9.
DFT (GGA-PBE) results for a geometry-optimized LaCoGe2Rh structure.

```
10
Lattice="4.1327 0.0000 0.0000 0.0000 4.1327 0.0000 0.0000 0.0000 10.6296" Properties=species:S:1:pos:R:3 pbc="T T T"
La 0.0000 0.0000 0.0000
La 2.0663 2.0663 5.3148
Co 0.0000 2.0663 2.6574
Co 2.0663 0.0000 7.9722
Ge 0.0000 0.0000 3.9369
Ge 0.0000 0.0000 6.6927
Ge 2.0663 2.0663 1.3779
Ge 2.0663 2.0663 9.2517
Rh 0.0000 2.0663 7.9722
Rh 2.0663 0.0000 2.6574
```

=====

10.
DFT (GGA-PBE) results for a geometry-optimized LaCoGe2Ru structure.

```
10
Lattice="4.1807 0.0000 0.0000 0.0000 4.1807 0.0000 0.0000 0.0000 10.4188" Properties=species:S:1:pos:R:3 pbc="T T T"
La 0.0000 0.0000 0.0000
La 2.0904 2.0904 5.2094
Co 0.0000 2.0904 2.6047
Co 2.0904 0.0000 7.8141
Ge 0.0000 0.0000 3.8199
Ge 0.0000 0.0000 6.5989
Ge 2.0904 2.0904 1.3895
Ge 2.0904 2.0904 9.0294
Ru 0.0000 2.0904 7.8141
Ru 2.0904 0.0000 2.6047
```

=====

11.
DFT (GGA-PBE) results for a geometry-optimized SrLaCo2Ge structure.

```
5
Lattice="4.8532 0.0000 0.0000 0.0000 4.8532 0.0000 0.0000 0.0000 5.6199" Properties=species:S:1:pos:R:3 pbc="T T T"
Sr 0.0000 0.0000 0.0000
La 2.4266 2.4266 2.8100
Co 0.0000 2.4266 0.0000
Co 2.4266 0.0000 0.0000
Ge 0.0000 0.0000 2.8100
```

=====

12.
DFT (GGA-PBE) results for a geometry-optimized LaTaCoGe2 structure.

```
5
Lattice="4.9673 0.0000 0.0000 0.0000 4.9673 0.0000 0.0000 0.0000 4.6789" Properties=species:S:1:pos:R:3 pbc="T T T"
La 0.0000 0.0000 0.0000
Ta 2.4836 2.4836 2.3394
Co 2.4836 2.4836 0.0000
Ge 0.0000 2.4836 2.3394
Ge 2.4836 0.0000 2.3394
```

=====

Computed values of final energy (unit: eV/atom) for the preceding records, in sequence: -6.0925; -6.5484; -5.5603; -5.3891; -5.9750; -5.6516; -6.2346; -6.0449; -6.4576; -6.7390; -3.9470; -6.5246.